First-principles (SCAN) data for a PBEsol-optimized structure of ErInPt2, as listed in Alexandria.

Lattice parameters (Å, degrees): 6.659 6.659 6.659 90.00 90.00 90.00
Fractional coordinates of all 16 atoms:
Er: 0.000 0.000 0.000
Er: 0.000 0.500 0.500
Er: 0.500 0.000 0.500
Er: 0.500 0.500 0.000
In: 0.000 0.000 0.500
In: 0.000 0.500 0.000
In: 0.500 0.000 0.000
In: 0.500 0.500 0.500
Pt: 0.250 0.250 0.250
Pt: 0.250 0.250 0.750
Pt: 0.250 0.750 0.250
Pt: 0.250 0.750 0.750
Pt: 0.750 0.250 0.250
Pt: 0.750 0.250 0.750
Pt: 0.750 0.750 0.250
Pt: 0.750 0.750 0.750

The symmetry is No. 225. Its density of states at the Fermi level is 6.5 states/eV/cell. As for the crystal system: cubic. The value obtained for the final energy is -913.28 eV/cell. The calculated formation energy is -1.052 eV/atom.


First-principles (SCAN) data for a PBEsol-optimized structure of ErInRh, as listed in Alexandria.

Lattice parameters (Å, degrees): 7.363 7.363 3.846 90.00 90.00 120.00
Fractional coordinates of all 9 atoms:
Er: 0.000 0.406 0.000
Er: 0.406 0.000 0.000
Er: 0.594 0.594 0.000
In: 0.000 0.742 0.500
In: 0.258 0.258 0.500
In: 0.742 0.000 0.500
Rh: 0.000 0.000 0.000
Rh: 0.333 0.667 0.500
Rh: 0.667 0.333 0.500

The symmetry is No. 189. Its density of states at the Fermi level is 5.3 states/eV/cell. As for the crystal system: hexagonal. The value obtained for the final energy is -360.39 eV/cell. The calculated formation energy is -0.878 eV/atom.


First-principles (SCAN) data for a PBEsol-optimized structure of Er4InRh, as listed in Alexandria.

Lattice parameters (Å, degrees): 9.399 9.399 9.399 60.00 60.00 60.00
Fractional coordinates of all 24 atoms:
Er: 0.061 0.061 0.439
Er: 0.061 0.439 0.061
Er: 0.061 0.439 0.439
Er: 0.188 0.188 0.812
Er: 0.188 0.812 0.188
Er: 0.188 0.812 0.812
Er: 0.200 0.600 0.600
Er: 0.439 0.061 0.061
Er: 0.439 0.061 0.439
Er: 0.439 0.439 0.061
Er: 0.600 0.200 0.600
Er: 0.600 0.600 0.200
Er: 0.600 0.600 0.600
Er: 0.812 0.188 0.188
Er: 0.812 0.188 0.812
Er: 0.812 0.812 0.188
In: 0.501 0.833 0.833
In: 0.833 0.501 0.833
In: 0.833 0.833 0.501
In: 0.833 0.833 0.833
Rh: 0.393 0.393 0.393
Rh: 0.393 0.393 0.822
Rh: 0.393 0.822 0.393
Rh: 0.822 0.393 0.393

The symmetry is No. 216. Its density of states at the Fermi level is 11.9 states/eV/cell. As for the crystal system: cubic. The value obtained for the final energy is -1090.77 eV/cell. The calculated formation energy is -0.696 eV/atom.


First-principles (SCAN) data for a PBEsol-optimized structure of Er3In3Ru2, as listed in Alexandria.

Lattice parameters (Å, degrees): 15.484 4.655 5.009 90.00 100.40 90.00
Fractional coordinates of all 16 atoms:
Er: 0.000 0.000 0.000
Er: 0.167 0.000 0.580
Er: 0.333 0.500 0.420
Er: 0.500 0.500 0.000
Er: 0.667 0.500 0.580
Er: 0.833 0.000 0.420
In: 0.000 0.500 0.500
In: 0.129 0.500 0.084
In: 0.371 0.000 0.916
In: 0.500 0.000 0.500
In: 0.629 0.000 0.084
In: 0.871 0.500 0.916
Ru: 0.214 0.000 0.097
Ru: 0.286 0.500 0.903
Ru: 0.714 0.500 0.097
Ru: 0.786 0.000 0.903

The symmetry is No. 12. Its density of states at the Fermi level is 7.4 states/eV/cell. As for the crystal system: monoclinic. The value obtained for the final energy is -649.32 eV/cell. The calculated formation energy is -0.479 eV/atom.


First-principles (SCAN) data for a PBEsol-optimized structure of TbErIn2, as listed in Alexandria.

Lattice parameters (Å, degrees): 7.368 7.368 7.368 90.00 90.00 90.00
Fractional coordinates of all 16 atoms:
Tb: 0.000 0.000 0.000
Tb: 0.000 0.500 0.500
Tb: 0.500 0.000 0.500
Tb: 0.500 0.500 0.000
Er: 0.000 0.000 0.500
Er: 0.000 0.500 0.000
Er: 0.500 0.000 0.000
Er: 0.500 0.500 0.500
In: 0.250 0.250 0.250
In: 0.250 0.250 0.750
In: 0.250 0.750 0.250
In: 0.250 0.750 0.750
In: 0.750 0.250 0.250
In: 0.750 0.250 0.750
In: 0.750 0.750 0.250
In: 0.750 0.750 0.750

The symmetry is No. 225. Its density of states at the Fermi level is 7.3 states/eV/cell. As for the crystal system: cubic. The value obtained for the final energy is -665.24 eV/cell. The calculated formation energy is -0.609 eV/atom.


First-principles (SCAN) data for a PBEsol-optimized structure of Er2TlIn, as listed in Alexandria.

Lattice parameters (Å, degrees): 7.366 7.366 7.366 90.00 90.00 90.00
Fractional coordinates of all 16 atoms:
Er: 0.250 0.250 0.250
Er: 0.250 0.250 0.750
Er: 0.250 0.750 0.250
Er: 0.250 0.750 0.750
Er: 0.750 0.250 0.250
Er: 0.750 0.250 0.750
Er: 0.750 0.750 0.250
Er: 0.750 0.750 0.750
Tl: 0.000 0.000 0.000
Tl: 0.000 0.500 0.500
Tl: 0.500 0.000 0.500
Tl: 0.500 0.500 0.000
In: 0.000 0.000 0.500
In: 0.000 0.500 0.000
In: 0.500 0.000 0.000
In: 0.500 0.500 0.500

The symmetry is No. 225. Its density of states at the Fermi level is 10.9 states/eV/cell. As for the crystal system: cubic. The value obtained for the final energy is -834.33 eV/cell. The calculated formation energy is -0.539 eV/atom.


First-principles (SCAN) data for a PBEsol-optimized structure of Er3Ir2, as listed in Alexandria.

Lattice parameters (Å, degrees): 14.539 14.539 14.539 135.72 135.72 64.41
Fractional coordinates of all 70 atoms:
Er: 0.000 0.278 0.134
Er: 0.000 0.722 0.866
Er: 0.017 0.727 0.132
Er: 0.094 0.227 0.710
Er: 0.113 0.613 0.500
Er: 0.115 0.983 0.710
Er: 0.134 0.000 0.278
Er: 0.144 0.866 0.866
Er: 0.154 0.346 0.500
Er: 0.222 0.500 0.866
Er: 0.227 0.517 0.132
Er: 0.250 0.750 0.500
Er: 0.273 0.406 0.290
Er: 0.278 0.144 0.278
Er: 0.346 0.846 0.192
Er: 0.356 0.222 0.722
Er: 0.366 0.644 0.866
Er: 0.385 0.094 0.868
Er: 0.387 0.887 0.500
Er: 0.406 0.115 0.132
Er: 0.483 0.615 0.710
Er: 0.500 0.366 0.722
Er: 0.500 0.634 0.278
Er: 0.517 0.385 0.290
Er: 0.594 0.885 0.868
Er: 0.613 0.113 0.500
Er: 0.615 0.906 0.132
Er: 0.634 0.356 0.134
Er: 0.644 0.778 0.278
Er: 0.654 0.154 0.808
Er: 0.722 0.856 0.722
Er: 0.727 0.594 0.710
Er: 0.750 0.250 0.500
Er: 0.773 0.483 0.868
Er: 0.778 0.500 0.134
Er: 0.846 0.654 0.500
Er: 0.856 0.134 0.134
Er: 0.866 0.000 0.722
Er: 0.885 0.017 0.290
Er: 0.887 0.387 0.500
Er: 0.906 0.773 0.290
Er: 0.983 0.273 0.868
Ir: 0.000 0.000 0.000
Ir: 0.033 0.533 0.191
Ir: 0.075 0.212 0.500
Ir: 0.094 0.594 0.689
Ir: 0.133 0.133 0.000
Ir: 0.158 0.967 0.500
Ir: 0.212 0.712 0.138
Ir: 0.250 0.250 0.000
Ir: 0.288 0.425 0.500
Ir: 0.342 0.842 0.809
Ir: 0.367 0.367 0.000
Ir: 0.406 0.094 0.500
Ir: 0.425 0.925 0.138
Ir: 0.467 0.658 0.500
Ir: 0.500 0.500 0.000
Ir: 0.533 0.342 0.500
Ir: 0.575 0.075 0.862
Ir: 0.594 0.906 0.500
Ir: 0.633 0.633 0.000
Ir: 0.658 0.158 0.191
Ir: 0.712 0.575 0.500
Ir: 0.750 0.750 0.000
Ir: 0.788 0.288 0.862
Ir: 0.842 0.033 0.500
Ir: 0.867 0.867 0.000
Ir: 0.906 0.406 0.311
Ir: 0.925 0.788 0.500
Ir: 0.967 0.467 0.809

The symmetry is No. 140. Its density of states at the Fermi level is 30.9 states/eV/cell. As for the crystal system: tetragonal. The value obtained for the final energy is -4177.70 eV/cell. The calculated formation energy is -1.038 eV/atom.


First-principles (SCAN) data for a PBEsol-optimized structure of Er3Ir, as listed in Alexandria.

Lattice parameters (Å, degrees): 7.077 8.967 6.233 90.00 90.00 90.00
Fractional coordinates of all 16 atoms:
Er: 0.033 0.250 0.126
Er: 0.178 0.061 0.674
Er: 0.178 0.439 0.674
Er: 0.322 0.561 0.174
Er: 0.322 0.939 0.174
Er: 0.467 0.750 0.626
Er: 0.533 0.250 0.374
Er: 0.678 0.061 0.826
Er: 0.678 0.439 0.826
Er: 0.822 0.561 0.326
Er: 0.822 0.939 0.326
Er: 0.967 0.750 0.874
Ir: 0.115 0.750 0.457
Ir: 0.385 0.250 0.957
Ir: 0.615 0.750 0.043
Ir: 0.885 0.250 0.543

The symmetry is No. 62. Its density of states at the Fermi level is 13.1 states/eV/cell. As for the crystal system: orthorhombic. The value obtained for the final energy is -900.67 eV/cell. The calculated formation energy is -0.762 eV/atom.


First-principles (SCAN) data for a PBEsol-optimized structure of Er5P12Ir19, as listed in Alexandria.

Lattice parameters (Å, degrees): 12.567 12.567 3.915 90.00 90.00 120.00
Fractional coordinates of all 36 atoms:
Er: 0.000 0.183 0.000
Er: 0.183 0.000 0.000
Er: 0.333 0.667 0.500
Er: 0.667 0.333 0.500
Er: 0.817 0.817 0.000
P: 0.000 0.356 0.500
P: 0.000 0.822 0.500
P: 0.171 0.687 0.000
P: 0.178 0.178 0.500
P: 0.313 0.484 0.000
P: 0.356 0.000 0.500
P: 0.484 0.313 0.000
P: 0.516 0.829 0.000
P: 0.644 0.644 0.500
P: 0.687 0.171 0.000
P: 0.822 0.000 0.500
P: 0.829 0.516 0.000
Ir: 0.000 0.000 0.500
Ir: 0.000 0.537 0.500
Ir: 0.000 0.715 0.000
Ir: 0.133 0.493 0.000
Ir: 0.180 0.805 0.500
Ir: 0.195 0.375 0.500
Ir: 0.285 0.285 0.000
Ir: 0.360 0.867 0.000
Ir: 0.375 0.195 0.500
Ir: 0.463 0.463 0.500
Ir: 0.493 0.133 0.000
Ir: 0.507 0.640 0.000
Ir: 0.537 0.000 0.500
Ir: 0.625 0.820 0.500
Ir: 0.640 0.507 0.000
Ir: 0.715 0.000 0.000
Ir: 0.805 0.180 0.500
Ir: 0.820 0.625 0.500
Ir: 0.867 0.360 0.000

The symmetry is No. 189. Its density of states at the Fermi level is 10.7 states/eV/cell. As for the crystal system: hexagonal. The value obtained for the final energy is -1759.66 eV/cell. The calculated formation energy is -0.897 eV/atom.


First-principles (SCAN) data for a PBEsol-optimized structure of ErSbIr, as listed in Alexandria.

Lattice parameters (Å, degrees): 7.018 4.461 7.797 90.00 90.00 90.00
Fractional coordinates of all 12 atoms:
Er: 0.010 0.250 0.192
Er: 0.490 0.750 0.692
Er: 0.510 0.250 0.308
Er: 0.990 0.750 0.808
Sb: 0.178 0.250 0.588
Sb: 0.322 0.750 0.088
Sb: 0.678 0.250 0.912
Sb: 0.822 0.750 0.412
Ir: 0.211 0.750 0.413
Ir: 0.289 0.250 0.913
Ir: 0.711 0.750 0.087
Ir: 0.789 0.250 0.587

The symmetry is No. 62. The calculation puts the energy relative to the elements, uncorrected at -1.08 eV/atom. Its density of states at the Fermi level is 5.1 states/eV/cell. As for the crystal system: orthorhombic. The value obtained for the final energy is -647.77 eV/cell.


| no. | volume (Å³ per atom) |
| --- | --- |
| 1 | 18.5 |
| 2 | 20.1 |
| 3 | 24.5 |
| 4 | 22.2 |
| 5 | 25.0 |
| 6 | 25.0 |
| 7 | 21.1 |
| 8 | 24.7 |
| 9 | 14.9 |
| 10 | 20.3 |